1.
# BeMo3 | the Alexandria database | PBE-GGA | optimized geometry
# - Relative energy among the computed polymorphs: 1.61 eV/f.u.
# - ΔH_f (0 K): 0.389 eV per atom
data_BeMo3
_chemical_formula_sum 'Be1 Mo3'
_cell_length_a 9.111
_cell_length_b 9.111
_cell_length_c 9.111
_cell_angle_alpha 17.38
_cell_angle_beta 17.38
_cell_angle_gamma 17.38
_space_group_name_H-M_alt 'P 1'
_space_group_IT_number 1
loop_
_space_group_symop_operation_xyz
'x,y,z'
loop_
_atom_site_label
_atom_site_type_symbol
_atom_site_fract_x
_atom_site_fract_y
_atom_site_fract_z
Mo1 Mo 0.743 0.743 0.743
Be1 Be 0.000 0.000 0.000
Mo2 Mo 0.257 0.257 0.257
Mo3 Mo 0.500 0.500 0.500

2.
# La2Hg8Pb | the Alexandria database | PBE-GGA | optimized geometry
# - ΔH_f (0 K): -0.281 eV per atom
data_La2Hg8Pb
_chemical_formula_sum 'La2 Hg8 Pb1'
_cell_length_a 5.268
_cell_length_b 6.909
_cell_length_c 9.386
_cell_angle_alpha 111.92
_cell_angle_beta 106.71
_cell_angle_gamma 88.92
_space_group_name_H-M_alt 'P 1'
_space_group_IT_number 1
loop_
_space_group_symop_operation_xyz
'x,y,z'
loop_
_atom_site_label
_atom_site_type_symbol
_atom_site_fract_x
_atom_site_fract_y
_atom_site_fract_z
Hg1 Hg 0.849 0.642 0.730
La1 La 0.686 0.686 0.371
Hg2 Hg 0.151 0.358 0.270
Hg3 Hg 0.696 0.196 0.392
La2 La 0.314 0.314 0.629
Hg4 Hg 0.751 0.415 0.000
Hg5 Hg 0.249 0.585 0.000
Pb1 Pb 0.500 0.000 0.000
Hg6 Hg 0.881 0.088 0.730
Hg7 Hg 0.304 0.804 0.608
Hg8 Hg 0.119 0.912 0.270

3.
# Sc2TeAs | the Alexandria database | PBE-GGA | optimized geometry
# - E_form (uncorrected): -908 meV per atom
data_Sc2TeAs
_chemical_formula_sum 'Sc2 Te1 As1'
_cell_length_a 5.159
_cell_length_b 5.159
_cell_length_c 5.159
_cell_angle_alpha 131.88
_cell_angle_beta 113.05
_cell_angle_gamma 86.61
_space_group_name_H-M_alt 'P 1'
_space_group_IT_number 1
loop_
_space_group_symop_operation_xyz
'x,y,z'
loop_
_atom_site_label
_atom_site_type_symbol
_atom_site_fract_x
_atom_site_fract_y
_atom_site_fract_z
As1 As 0.250 0.750 0.500
Te1 Te 0.750 0.250 0.500
Sc1 Sc 0.020 0.020 0.000
Sc2 Sc 0.480 0.480 0.000

4.
# AcPr5P6 | the Alexandria database | PBE-GGA | optimized geometry
# - ΔH_f (0 K): -1.497 eV per atom
data_AcPr5P6
_chemical_formula_sum 'Ac1 Pr5 P6'
_cell_length_a 7.357
_cell_length_b 7.359
_cell_length_c 7.357
_cell_angle_alpha 59.99
_cell_angle_beta 80.39
_cell_angle_gamma 70.51
_space_group_name_H-M_alt 'P 1'
_space_group_IT_number 1
loop_
_space_group_symop_operation_xyz
'x,y,z'
loop_
_atom_site_label
_atom_site_type_symbol
_atom_site_fract_x
_atom_site_fract_y
_atom_site_fract_z
Pr1 Pr 0.000 0.333 0.334
P1 P 0.746 0.745 0.000
Pr2 Pr 0.000 0.667 0.666
Pr3 Pr 0.500 0.500 0.000
P2 P 0.746 0.085 0.340
P3 P 0.254 0.255 0.000
Pr4 Pr 0.500 0.166 0.668
P4 P 0.746 0.425 0.660
Pr5 Pr 0.500 0.834 0.332
P5 P 0.254 0.915 0.660
P6 P 0.254 0.575 0.340
Ac1 Ac 0.000 0.000 0.000